1.
Density functional theory data (GGA-PBEsol) for crystalline Li2ZrIn at its relaxed geometry.

a b c (Å): 2.896 4.932 5.530
angles (deg): 90.00 93.74 90.00
Space group P2/m (No. 10)
One atom of each set of equivalent atoms:
Li (0.172, 0.000, 0.252)
Zr (0.500, 0.500, 0.000)
In (0.000, 0.500, 0.500)

Summary:
- energy of formation (eV per atom) = -0.05
- magnetization (μB per cell) = 0.0


2.
Density functional theory data (GGA-PBEsol) for crystalline ZnCoIr2 at its relaxed geometry.

a b c (Å): 4.478 2.668 4.643
angles (deg): 90.00 110.75 90.00
Space group P2/m (No. 10)
One atom of each set of equivalent atoms:
Zn (0.000, 0.000, 0.000)
Co (0.000, 0.500, 0.500)
Ir (0.500, 0.000, 0.500)
Ir (0.500, 0.500, 0.000)

Summary:
- energy of formation (eV per atom) = 0.01
- magnetization (μB per cell) = 0.9


3.
Density functional theory data (GGA-PBEsol) for crystalline SrBeSb2 at its relaxed geometry.

a b c (Å): 4.6031 4.6031 16.7701
angles (deg): 90.00 90.00 120.00
Space group R-3m (No. 166, hexagonal axes)
One atom of each set of equivalent atoms:
Sr (0.0000, 0.0000, 0.0000)
Be (0.0000, 0.0000, 0.5000)
Sb (0.0000, 0.0000, 0.2139)

Summary:
- magnetization (μB per cell) = 0.0
- E_form (uncorrected) (eV/atom) = -0.100


4.
Density functional theory data (GGA-PBEsol) for crystalline NiBi2Sb at its relaxed geometry.

a b c (Å): 6.284 6.284 12.549
angles (deg): 90.00 90.00 90.00
Space group I-42d (No. 122)
One atom of each set of equivalent atoms:
Ni (0.000, 0.000, 0.000)
Bi (0.182, 0.250, 0.125)
Sb (0.000, 0.000, 0.500)

Summary:
- magnetization (μB per cell) = 0.0
- E_form (uncorrected) (eV/atom) = 0.248


5.
Density functional theory data (GGA-PBEsol) for crystalline KNb3Ru at its relaxed geometry.

a b c (Å): 4.486 4.486 4.486
angles (deg): 90.00 90.00 90.00
Space group Pm-3m (No. 221)
One atom of each set of equivalent atoms:
K (0.000, 0.000, 0.000)
Nb (0.000, 0.000, 0.500)
Ru (0.500, 0.500, 0.500)

Summary:
- energy of formation (eV per atom) = 2.71
- magnetization (μB per cell) = 0.0


6.
Density functional theory data (GGA-PBEsol) for crystalline NbBrF2 at its relaxed geometry.

a b c (Å): 4.485 4.485 13.794
angles (deg): 90.00 90.00 90.00
Space group I4_1/amd (No. 141, origin choice 2)
One atom of each set of equivalent atoms:
Nb (0.000, 0.250, 0.375)
Br (0.000, 0.250, 0.875)
F (0.000, 0.000, 0.500)

Summary:
- magnetization (μB per cell) = 8.0
- E_form (uncorrected) (eV/atom) = -1.486


7.
Density functional theory data (GGA-PBEsol) for crystalline ZrSc2Tc at its relaxed geometry.

a b c (Å): 3.361 4.899 9.636
angles (deg): 90.00 90.00 90.00
Space group Imm2 (No. 44)
One atom of each set of equivalent atoms:
Zr (0.000, 0.000, 0.000)
Sc (0.000, 0.000, 0.580)
Sc (0.000, 0.500, 0.789)
Tc (0.000, 0.500, 0.298)

Summary:
- energy of formation (eV per atom) = -0.15
- magnetization (μB per cell) = 0.0


8.
Density functional theory data (GGA-PBEsol) for crystalline Fe2CoSb at its relaxed geometry.

a b c (Å): 2.9672 2.9672 22.4360
angles (deg): 90.00 90.00 120.00
Space group R-3m (No. 166, hexagonal axes)
One atom of each set of equivalent atoms:
Fe (0.0000, 0.0000, 0.2409)
Co (0.0000, 0.0000, 0.5000)
Sb (0.0000, 0.0000, 0.0000)

Summary:
- magnetization (μB per cell) = 19.5
- E_form (uncorrected) (eV/atom) = 0.500


9.
Density functional theory data (GGA-PBEsol) for crystalline Hg5Pb4 at its relaxed geometry.

a b c (Å): 9.1986 9.1986 6.4302
angles (deg): 90.00 90.00 120.00
Space group P6_3/mcm (No. 193)
One atom of each set of equivalent atoms:
Hg (0.0000, 0.3014, 0.2500)
Hg (0.3333, 0.6667, 0.0000)
Pb (0.0000, 0.0000, 0.0000)
Pb (0.0000, 0.3700, 0.7500)

Summary:
- energy of formation (eV per atom) = 0.03
- magnetization (μB per cell) = 0.0


10.
Density functional theory data (GGA-PBEsol) for crystalline Ni3OF5 at its relaxed geometry.

a b c (Å): 8.782 6.580 7.045
angles (deg): 90.00 110.91 90.00
Space group Cm (No. 8)
One atom of each set of equivalent atoms:
Ni (0.000, 0.000, 0.000)
Ni (0.003, 0.000, 0.525)
Ni (0.151, 0.500, 0.178)
Ni (0.161, 0.500, 0.679)
Ni (0.319, 0.000, 0.862)
Ni (0.336, 0.000, 0.333)
O (0.097, 0.000, 0.808)
O (0.430, 0.000, 0.142)
F (0.055, 0.500, 0.877)
F (0.161, 0.197, 0.180)
F (0.236, 0.000, 0.546)
F (0.265, 0.500, 0.478)
F (0.328, 0.304, 0.844)
F (0.393, 0.500, 0.213)
F (0.499, 0.198, 0.509)

Summary:
- magnetization (μB per cell) = 26.9
- E_form (uncorrected) (eV/atom) = -1.424


11.
Density functional theory data (GGA-PBEsol) for crystalline BaBeBSb2 at its relaxed geometry.

a b c (Å): 6.062 6.062 4.989
angles (deg): 90.00 90.00 90.00
Space group P4/mmm (No. 123)
One atom of each set of equivalent atoms:
Ba (0.000, 0.000, 0.000)
Be (0.500, 0.500, 0.500)
B (0.000, 0.000, 0.500)
Sb (0.000, 0.500, 0.000)

Summary:
- magnetization (μB per cell) = 0.0
- E_form (uncorrected) (eV/atom) = 2.145


12.
Density functional theory data (GGA-PBEsol) for crystalline Ba2WCl at its relaxed geometry.

a b c (Å): 3.362 5.376 6.178
angles (deg): 90.00 90.00 90.00
Space group Pmmm (No. 47)
One atom of each set of equivalent atoms:
Ba (0.000, 0.000, 0.000)
Ba (0.500, 0.500, 0.500)
W (0.000, 0.000, 0.500)
Cl (0.500, 0.500, 0.000)

Summary:
- magnetization (μB per cell) = 0.0
- E_form (uncorrected) (eV/atom) = 0.186


The highest magnetization belongs to which entry? Ni3OF5


Look up the magnetization of the fifth one. 0.0 μB per cell